(1)
Density functional theory data (PBE-GGA) for an optimized crystal structure of Th8PdRu5.

Cell lengths 8.966, 8.966, 8.690 Å; angles 90.00, 90.00, 90.00 degrees
Space group I-4 (No. 82)
Inequivalent atoms, fractional coordinates:
Th 0.054 0.314 0.073 (multiplicity 8)
Th 0.057 0.199 0.676 (multiplicity 8)
Pd 0.000 0.000 0.000 (multiplicity 2)
Ru 0.000 0.500 0.750 (multiplicity 2)
Ru 0.138 0.248 0.370 (multiplicity 8)

(2)
Density functional theory data (PBE-GGA) for an optimized crystal structure of ThPd2Ru.

Cell lengths 6.717, 6.717, 6.717 Å; angles 90.00, 90.00, 90.00 degrees
Space group Fm-3m (No. 225)
Inequivalent atoms, fractional coordinates:
Th 0.000 0.000 0.000 (multiplicity 4)
Pd 0.250 0.250 0.250 (multiplicity 8)
Ru 0.000 0.000 0.500 (multiplicity 4)

(3)
Density functional theory data (PBE-GGA) for an optimized crystal structure of Th4PdRu2.

Cell lengths 12.778, 12.796, 8.647 Å; angles 90.00, 90.00, 90.00 degrees
Space group Fdd2 (No. 43)
Inequivalent atoms, fractional coordinates:
Th 0.066 0.377 0.000 (multiplicity 16)
Th 0.122 0.068 0.154 (multiplicity 16)
Pd 0.000 0.000 0.827 (multiplicity 8)
Ru 0.054 0.303 0.702 (multiplicity 16)

(4)
Density functional theory data (PBE-GGA) for an optimized crystal structure of ThTlPdRu.

Cell lengths 6.935, 6.935, 6.935 Å; angles 90.00, 90.00, 90.00 degrees
Space group F-43m (No. 216)
Inequivalent atoms, fractional coordinates:
Th 0.000 0.000 0.000 (multiplicity 4)
Tl 0.000 0.000 0.500 (multiplicity 4)
Pd 0.250 0.250 0.750 (multiplicity 4)
Ru 0.250 0.250 0.250 (multiplicity 4)

(5)
Density functional theory data (PBE-GGA) for an optimized crystal structure of TmThPdRu.

Cell lengths 7.024, 7.024, 7.024 Å; angles 90.00, 90.00, 90.00 degrees
Space group F-43m (No. 216)
Inequivalent atoms, fractional coordinates:
Tm 0.000 0.000 0.000 (multiplicity 4)
Th 0.000 0.000 0.500 (multiplicity 4)
Pd 0.250 0.250 0.750 (multiplicity 4)
Ru 0.250 0.250 0.250 (multiplicity 4)

(6)
Density functional theory data (PBE-GGA) for an optimized crystal structure of ThZnPdRu.

Properties
The calculation puts the energy above the most stable polymorph in this dataset at 0.0 meV per atom.

Cell lengths 3.809, 4.074, 4.756 Å; angles 90.00, 90.00, 90.00 degrees
Space group Pmmm (No. 47)
Inequivalent atoms, fractional coordinates:
Th 0.000 0.000 0.000 (multiplicity 1)
Zn 0.000 0.500 0.500 (multiplicity 1)
Pd 0.500 0.000 0.500 (multiplicity 1)
Ru 0.500 0.500 0.000 (multiplicity 1)

(7)
Density functional theory data (PBE-GGA) for an optimized crystal structure of ThZnPdRu.

Properties
The calculation puts the energy above the most stable polymorph in this dataset at 107.9 meV per atom.

Cell lengths 6.705, 6.705, 6.705 Å; angles 90.00, 90.00, 90.00 degrees
Space group F-43m (No. 216)
Inequivalent atoms, fractional coordinates:
Th 0.000 0.000 0.000 (multiplicity 4)
Zn 0.000 0.000 0.500 (multiplicity 4)
Pd 0.250 0.250 0.750 (multiplicity 4)
Ru 0.250 0.250 0.250 (multiplicity 4)

(8)
Density functional theory data (PBE-GGA) for an optimized crystal structure of Ti2PdRu.

Cell lengths 3.066, 3.066, 6.508 Å; angles 90.00, 90.00, 90.00 degrees
Space group P4/mmm (No. 123)
Inequivalent atoms, fractional coordinates:
Ti 0.000 0.000 0.235 (multiplicity 2)
Pd 0.500 0.500 0.500 (multiplicity 1)
Ru 0.500 0.500 0.000 (multiplicity 1)

(9)
Density functional theory data (PBE-GGA) for an optimized crystal structure of Ti5Pd4Ru.

Cell lengths 3.006, 3.006, 17.354 Å; angles 90.00, 90.00, 90.00 degrees
Space group P4/mmm (No. 123)
Inequivalent atoms, fractional coordinates:
Ti 0.000 0.000 0.000 (multiplicity 1)
Ti 0.000 0.000 0.205 (multiplicity 2)
Ti 0.000 0.000 0.410 (multiplicity 2)
Pd 0.500 0.500 0.100 (multiplicity 2)
Pd 0.500 0.500 0.311 (multiplicity 2)
Ru 0.500 0.500 0.500 (multiplicity 1)

(10)
Density functional theory data (PBE-GGA) for an optimized crystal structure of Ti4PdRu.

Properties
The calculation puts the energy above the most stable polymorph in this dataset at 0.0 meV per atom.

Cell lengths 3.084, 3.084, 9.888 Å; angles 90.00, 90.00, 90.00 degrees
Space group P4/mmm (No. 123)
Inequivalent atoms, fractional coordinates:
Ti 0.000 0.000 0.155 (multiplicity 2)
Ti 0.500 0.500 0.332 (multiplicity 2)
Pd 0.000 0.000 0.500 (multiplicity 1)
Ru 0.500 0.500 0.000 (multiplicity 1)

(11)
Density functional theory data (PBE-GGA) for an optimized crystal structure of Ti2PdRu.

Cell lengths 6.848, 6.848, 5.588 Å; angles 90.00, 90.00, 90.00 degrees
Space group I-42d (No. 122)
Inequivalent atoms, fractional coordinates:
Ti 0.237 0.250 0.125 (multiplicity 8)
Pd 0.000 0.000 0.500 (multiplicity 4)
Ru 0.000 0.000 0.000 (multiplicity 4)

(12)
Density functional theory data (PBE-GGA) for an optimized crystal structure of Ti2Pd2Ru.

Properties
The calculation puts the energy above the most stable polymorph in this dataset at 43.4 meV per atom.

Cell lengths 7.212, 7.212, 3.034 Å; angles 90.00, 90.00, 90.00 degrees
Space group P4/mbm (No. 127)
Inequivalent atoms, fractional coordinates:
Ti 0.175 0.325 0.000 (multiplicity 4)
Pd 0.129 0.629 0.500 (multiplicity 4)
Ru 0.000 0.000 0.500 (multiplicity 2)

(13)
Density functional theory data (PBE-GGA) for an optimized crystal structure of TiPdRu.

Properties
The calculation puts the energy above the most stable polymorph in this dataset at 737.6 meV per atom.

Cell lengths 2.689, 2.689, 13.751 Å; angles 90.00, 90.00, 90.00 degrees
Space group I4mm (No. 107)
Inequivalent atoms, fractional coordinates:
Ti 0.000 0.000 0.000 (multiplicity 2)
Pd 0.000 0.000 0.182 (multiplicity 2)
Ru 0.000 0.000 0.826 (multiplicity 2)

The records above give, respectively, ρ values of 11.735 11.964 11.620 12.821 11.661 11.362 11.126 8.233 8.113 7.044 7.685 8.620 8.530 g/cm³.
The records above give, respectively, energy of formation from the pure elements values of -0.504 -0.265 -0.535 -0.286 -0.620 -0.520 -0.412 -0.604 -0.550 -0.489 -0.130 -0.253 0.390 eV per atom.